1.
Density functional theory data (GGA-PBE) for an optimized crystal structure of MgBeBiB2.

Its formation energy is 1.201 eV/atom. For the density of states at the Fermi level, the calculation gives 0.434 states/eV/atom.

The structure belongs to space group P4/mmm (No. 123); the cell edges are 3.954, 3.954 and 5.407 Å and the angles 90.00°, 90.00° and 90.00°. The distinct sites, in fractional coordinates, are Mg at (0.000, 0.000, 0.000), Be at (0.500, 0.500, 0.500), Bi at (0.500, 0.500, 0.000) and B at (0.000, 0.500, 0.500).

=====

2.
Density functional theory data (GGA-PBE) for an optimized crystal structure of BeBi2BPt.

Its formation energy is 0.587 eV/atom. For the density of states at the Fermi level, the calculation gives 0.448 states/eV/atom.

The structure belongs to space group P4/mmm (No. 123); the cell edges are 5.228, 5.228 and 3.481 Å and the angles 90.00°, 90.00° and 90.00°. The distinct sites, in fractional coordinates, are Be at (0.000, 0.000, 0.000), Bi at (0.000, 0.500, 0.000), B at (0.000, 0.000, 0.500) and Pt at (0.500, 0.500, 0.500).

=====

3.
Density functional theory data (GGA-PBE) for an optimized crystal structure of BeBi2BPt.

Its formation energy is 0.737 eV/atom. For the density of states at the Fermi level, the calculation gives 0.737 states/eV/atom.

The structure belongs to space group P4/mmm (No. 123); the cell edges are 5.170, 5.170 and 4.024 Å and the angles 90.00°, 90.00° and 90.00°. The distinct sites, in fractional coordinates, are Be at (0.000, 0.000, 0.000), Bi at (0.000, 0.500, 0.500), B at (0.500, 0.500, 0.500) and Pt at (0.500, 0.500, 0.000).

=====

4.
Density functional theory data (GGA-PBE) for an optimized crystal structure of BeBiB2Pt.

Its formation energy is 0.768 eV/atom. For the density of states at the Fermi level, the calculation gives 0.446 states/eV/atom.

The structure belongs to space group P4/mmm (No. 123); the cell edges are 4.124, 4.124 and 4.777 Å and the angles 90.00°, 90.00° and 90.00°. The distinct sites, in fractional coordinates, are Be at (0.000, 0.000, 0.000), Bi at (0.500, 0.500, 0.000), B at (0.000, 0.500, 0.500) and Pt at (0.000, 0.000, 0.500).

=====

5.
Density functional theory data (GGA-PBE) for an optimized crystal structure of BeReBiB2.

Its formation energy is 2.959 eV/atom. For the density of states at the Fermi level, the calculation gives 0.659 states/eV/atom.

The structure belongs to space group P4/mmm (No. 123); the cell edges are 4.579, 4.579 and 4.615 Å and the angles 90.00°, 90.00° and 90.00°. The distinct sites, in fractional coordinates, are Be at (0.000, 0.000, 0.000), Re at (0.500, 0.500, 0.000), Bi at (0.000, 0.000, 0.500) and B at (0.000, 0.500, 0.500).

=====

6.
Density functional theory data (GGA-PBE) for an optimized crystal structure of BeBiBTe2.

The calculation puts the uncorrected formation energy at 1.617 eV per atom. For the density of states at the Fermi level, the calculation gives 0.288 states/eV/atom.

The structure belongs to space group P4/mmm (No. 123); the cell edges are 6.072, 6.072 and 4.562 Å and the angles 90.00°, 90.00° and 90.00°. The distinct sites, in fractional coordinates, are Be at (0.000, 0.000, 0.000), Bi at (0.000, 0.000, 0.500), B at (0.500, 0.500, 0.000) and Te at (0.000, 0.500, 0.500).

=====

7.
Density functional theory data (GGA-PBE) for an optimized crystal structure of Be2TlBiB.

Its formation energy is 0.768 eV/atom. For the density of states at the Fermi level, the calculation gives 0.354 states/eV/atom.

The structure belongs to space group P4/mmm (No. 123); the cell edges are 4.098, 4.098 and 5.700 Å and the angles 90.00°, 90.00° and 90.00°. The distinct sites, in fractional coordinates, are Be at (0.000, 0.500, 0.000), Tl at (0.000, 0.000, 0.500), Bi at (0.500, 0.500, 0.500) and B at (0.500, 0.500, 0.000).

=====

8.
Density functional theory data (GGA-PBE) for an optimized crystal structure of BeTlBiB2.

Its formation energy is 1.424 eV/atom. For the density of states at the Fermi level, the calculation gives 0.426 states/eV/atom.

The structure belongs to space group P4/mmm (No. 123); the cell edges are 4.167, 4.167 and 5.270 Å and the angles 90.00°, 90.00° and 90.00°. The distinct sites, in fractional coordinates, are Be at (0.000, 0.000, 0.000), Tl at (0.000, 0.000, 0.500), Bi at (0.500, 0.500, 0.500) and B at (0.000, 0.500, 0.000).

=====

9.
Density functional theory data (GGA-PBE) for an optimized crystal structure of YBe2BiB.

Its formation energy is 1.570 eV/atom. For the density of states at the Fermi level, the calculation gives 0.659 states/eV/atom.

The structure belongs to space group P4/mmm (No. 123); the cell edges are 4.468, 4.468 and 6.044 Å and the angles 90.00°, 90.00° and 90.00°. The distinct sites, in fractional coordinates, are Y at (0.000, 0.000, 0.000), Be at (0.000, 0.500, 0.500), Bi at (0.000, 0.000, 0.500) and B at (0.500, 0.500, 0.000).

=====

10.
Density functional theory data (GGA-PBE) for an optimized crystal structure of Be2ZnBiB.

Its formation energy is 1.104 eV/atom. For the density of states at the Fermi level, the calculation gives 0.461 states/eV/atom.

The structure belongs to space group P4/mmm (No. 123); the cell edges are 4.523, 4.523 and 3.893 Å and the angles 90.00°, 90.00° and 90.00°. The distinct sites, in fractional coordinates, are Be at (0.000, 0.500, 0.000), Zn at (0.000, 0.000, 0.000), Bi at (0.500, 0.500, 0.500) and B at (0.000, 0.000, 0.500).

=====

11.
Density functional theory data (GGA-PBE) for an optimized crystal structure of BeBBr2.

The calculation puts the uncorrected formation energy at 0.964 eV per atom. For the density of states at the Fermi level, the calculation gives 0.355 states/eV/atom.

The structure belongs to space group R-3m (No. 166, hexagonal axes); the cell edges are 4.0001, 4.0001 and 27.2149 Å and the angles 90.00°, 90.00° and 120.00°. The distinct sites, in fractional coordinates, are Be at (0.0000, 0.0000, 0.0000), B at (0.0000, 0.0000, 0.5000) and Br at (0.0000, 0.0000, 0.0718).

=====

12.
Density functional theory data (GGA-PBE) for an optimized crystal structure of Be2BBr4.

The calculation puts the uncorrected formation energy at 0.287 eV per atom. For the density of states at the Fermi level, the calculation gives 0.342 states/eV/atom.

The structure belongs to space group I4/mmm (No. 139); the cell edges are 5.241, 5.241 and 11.978 Å and the angles 90.00°, 90.00° and 90.00°. The distinct sites, in fractional coordinates, are Be at (0.000, 0.000, 0.088), B at (0.000, 0.000, 0.500), Br at (0.000, 0.000, 0.255) and Br at (0.000, 0.500, 0.000).

=====

13.
Density functional theory data (GGA-PBE) for an optimized crystal structure of BeB2Br.

The calculation puts the uncorrected formation energy at 1.288 eV per atom. For the density of states at the Fermi level, the calculation gives 0.549 states/eV/atom.

The structure belongs to space group I-42d (No. 122); the cell edges are 4.784, 4.784 and 9.723 Å and the angles 90.00°, 90.00° and 90.00°. The distinct sites, in fractional coordinates, are Be at (0.000, 0.000, 0.000), B at (0.178, 0.250, 0.125) and Br at (0.000, 0.000, 0.500).

=====

14.
Density functional theory data (GGA-PBE) for an optimized crystal structure of BeBBr2.

The calculation puts the uncorrected formation energy at 0.748 eV per atom. For the density of states at the Fermi level, the calculation gives 0.171 states/eV/atom.

The structure belongs to space group R-3m (No. 166, hexagonal axes); the cell edges are 3.3987, 3.3987 and 25.5018 Å and the angles 90.00°, 90.00° and 120.00°. The distinct sites, in fractional coordinates, are Be at (0.0000, 0.0000, 0.0000), B at (0.0000, 0.0000, 0.5000) and Br at (0.0000, 0.0000, 0.3879).

=====

15.
Density functional theory data (GGA-PBE) for an optimized crystal structure of Be2BBr2.

The calculation puts the uncorrected formation energy at 0.892 eV per atom. For the density of states at the Fermi level, the calculation gives 0.265 states/eV/atom.

The structure belongs to space group P4/mbm (No. 127); the cell edges are 8.137, 8.137 and 3.341 Å and the angles 90.00°, 90.00° and 90.00°. The distinct sites, in fractional coordinates, are Be at (0.090, 0.410, 0.000), B at (0.000, 0.000, 0.500) and Br at (0.213, 0.287, 0.500).

=====

16.
Density functional theory data (GGA-PBE) for an optimized crystal structure of BeB2Br.

The calculation puts the uncorrected formation energy at 2.215 eV per atom. For the density of states at the Fermi level, the calculation gives 0.530 states/eV/atom.

The structure belongs to space group Fm-3m (No. 225); the cell edges are 5.653, 5.653 and 5.653 Å and the angles 90.00°, 90.00° and 90.00°. The distinct sites, in fractional coordinates, are Be at (0.000, 0.000, 0.000), B at (0.250, 0.250, 0.250) and Br at (0.000, 0.000, 0.500).

=====

17.
Density functional theory data (GGA-PBE) for an optimized crystal structure of BeBBr2.

The calculation puts the uncorrected formation energy at 1.302 eV per atom. For the density of states at the Fermi level, the calculation gives 0.589 states/eV/atom.

The structure belongs to space group Fm-3m (No. 225); the cell edges are 6.554, 6.554 and 6.554 Å and the angles 90.00°, 90.00° and 90.00°. The distinct sites, in fractional coordinates, are Be at (0.000, 0.000, 0.000), B at (0.000, 0.000, 0.500) and Br at (0.250, 0.250, 0.250).

=====

18.
Density functional theory data (GGA-PBE) for an optimized crystal structure of Be2BBr2.

The calculation puts the uncorrected formation energy at 1.181 eV per atom. For the density of states at the Fermi level, the calculation gives 0.271 states/eV/atom.

The structure belongs to space group I4/mmm (No. 139); the cell edges are 3.213, 3.213 and 16.706 Å and the angles 90.00°, 90.00° and 90.00°. The distinct sites, in fractional coordinates, are Be at (0.000, 0.500, 0.250), B at (0.000, 0.000, 0.000) and Br at (0.000, 0.000, 0.401).

=====

19.
Density functional theory data (GGA-PBE) for an optimized crystal structure of BeBBr2.

The calculation puts the uncorrected formation energy at 0.793 eV per atom. For the density of states at the Fermi level, the calculation gives 0.143 states/eV/atom.

The structure belongs to space group I-42d (No. 122); the cell edges are 6.479, 6.479 and 9.184 Å and the angles 90.00°, 90.00° and 90.00°. The distinct sites, in fractional coordinates, are Be at (0.000, 0.000, 0.000), B at (0.000, 0.000, 0.500) and Br at (0.154, 0.250, 0.125).

=====

20.
Density functional theory data (GGA-PBE) for an optimized crystal structure of CaBeBBr2.

The calculation puts the uncorrected formation energy at 0.692 eV per atom. For the density of states at the Fermi level, the calculation gives 0.397 states/eV/atom.

The structure belongs to space group P4/mmm (No. 123); the cell edges are 5.107, 5.107 and 4.968 Å and the angles 90.00°, 90.00° and 90.00°. The distinct sites, in fractional coordinates, are Ca at (0.000, 0.000, 0.000), Be at (0.500, 0.500, 0.000), B at (0.000, 0.000, 0.500) and Br at (0.000, 0.500, 0.500).